## LiTcNi (PBE)

Data for a geometry-optimized LiTcNi structure. Values from VASP.

Summary:
- Magnetization: 0.000 μB per cell
- ΔH_f (0 K): 0.12 eV/atom
- Calculated volume: 77.4 Å³ per cell

Geometry as Quantum ESPRESSO input:
```
&SYSTEM
  ibrav = 0, nat = 6, ntyp = 3
/
ATOMIC_SPECIES
Ni 58.69 Ni.upf
Tc 98.00 Tc.upf
Li 6.94 Li.upf
CELL_PARAMETERS angstrom
10.916 0.000 -0.004
3.710 1.909 -1.858
-3.710 1.909 1.858
ATOMIC_POSITIONS crystal
Ni 0.061 0.664 0.336
Ni 0.735 0.630 0.370
Tc 0.218 0.188 0.812
Tc 0.956 0.083 0.917
Li 0.443 0.614 0.386
Li 0.574 0.139 0.861
```

## Nd3Ni2Ge4 (PBE)

Data for a geometry-optimized Nd3Ni2Ge4 structure. Values from VASP.

Summary:
- Magnetization: 0.000 μB per cell
- ΔH_f (0 K): -0.74 eV/atom
- Calculated volume: 185.4 Å³ per cell

Geometry as Quantum ESPRESSO input:
```
&SYSTEM
  ibrav = 0, nat = 9, ntyp = 3
/
ATOMIC_SPECIES
Nd 144.24 Nd.upf
Ni 58.69 Ni.upf
Ge 72.64 Ge.upf
CELL_PARAMETERS angstrom
4.273 0.000 0.000
-2.137 5.470 -0.140
0.000 -2.404 7.995
ATOMIC_POSITIONS crystal
Nd 0.620 0.241 0.688
Nd 0.000 0.000 0.000
Nd 0.380 0.759 0.312
Ni 0.682 0.364 0.347
Ni 0.318 0.636 0.653
Ge 0.715 0.429 0.076
Ge 0.285 0.571 0.924
Ge 0.890 0.781 0.597
Ge 0.110 0.219 0.403
```